# PBE Bi2TeCl2, relaxed
# Spin magnetization, μB/f.u.: 0.0
# Calculated total energy, eV per cell: -69.5
data_Bi2TeCl2
_chemical_formula_sum 'Bi8 Te4 Cl8'
_symmetry_space_group_name_H-M 'C 1 2/m 1'
_symmetry_Int_Tables_number 12
_cell_length_a 18.063
_cell_length_b 4.423
_cell_length_c 8.996
_cell_angle_alpha 90.00
_cell_angle_beta 104.52
_cell_angle_gamma 90.00
loop_
_symmetry_equiv_pos_as_xyz
'x,y,z'
'-x,-y,-z'
'-x,y,-z'
'x,-y,z'
'x+1/2,y+1/2,z'
'-x+1/2,-y+1/2,-z'
'-x+1/2,y+1/2,-z'
'x+1/2,-y+1/2,z'
loop_
_atom_site_label
_atom_site_type_symbol
_atom_site_fract_x
_atom_site_fract_y
_atom_site_fract_z
Bi1 Bi 0.119 0.000 0.453
Bi2 Bi 0.187 0.500 0.955
Te1 Te 0.218 0.500 0.646
Cl1 Cl 0.050 0.000 0.693
Cl2 Cl 0.106 0.500 0.227

---

# PBE BiTeCl, relaxed
# Spin magnetization, μB/f.u.: 0.0
# Calculated total energy, eV per cell: -21.2
data_BiTeCl
_chemical_formula_sum 'Bi2 Te2 Cl2'
_symmetry_space_group_name_H-M 'P 1 21/m 1'
_symmetry_Int_Tables_number 11
_cell_length_a 7.303
_cell_length_b 4.300
_cell_length_c 7.473
_cell_angle_alpha 90.00
_cell_angle_beta 96.36
_cell_angle_gamma 90.00
loop_
_symmetry_equiv_pos_as_xyz
'x,y,z'
'-x,-y,-z'
'-x,y+1/2,-z'
'x,-y+1/2,z'
loop_
_atom_site_label
_atom_site_type_symbol
_atom_site_fract_x
_atom_site_fract_y
_atom_site_fract_z
Bi1 Bi 0.010 0.250 0.239
Te1 Te 0.258 0.750 0.108
Cl1 Cl 0.210 0.250 0.606

---

# PBE Bi2Te2Cl, relaxed
# E above lowest polymorph, meV per atom: 355.0
# Spin magnetization, μB/f.u.: 0.0
# Calculated total energy, eV per cell: -127.9
data_Bi2Te2Cl
_chemical_formula_sum 'Bi16 Te16 Cl8'
_symmetry_space_group_name_H-M 'F d d d'
_symmetry_Int_Tables_number 70
_cell_length_a 6.321
_cell_length_b 13.799
_cell_length_c 17.444
_cell_angle_alpha 90.00
_cell_angle_beta 90.00
_cell_angle_gamma 90.00
loop_
_symmetry_equiv_pos_as_xyz
'x,y,z'
'-x,-y,-z'
'-x+1/4,-y+1/4,z'
'x+1/4,y+1/4,-z'
'x,-y+1/4,-z+1/4'
'-x,y+1/4,z+1/4'
'-x+1/4,y,-z+1/4'
'x+1/4,-y,z+1/4'
'x,y+1/2,z+1/2'
'-x,-y+1/2,-z+1/2'
'-x+1/4,-y+3/4,z+1/2'
'x+1/4,y+3/4,-z+1/2'
'x,-y+3/4,-z+3/4'
'-x,y+3/4,z+3/4'
'-x+1/4,y+1/2,-z+3/4'
'x+1/4,-y+1/2,z+3/4'
'x+1/2,y,z+1/2'
'-x+1/2,-y,-z+1/2'
'-x+3/4,-y+1/4,z+1/2'
'x+3/4,y+1/4,-z+1/2'
'x+1/2,-y+1/4,-z+3/4'
'-x+1/2,y+1/4,z+3/4'
'-x+3/4,y,-z+3/4'
'x+3/4,-y,z+3/4'
'x+1/2,y+1/2,z'
'-x+1/2,-y+1/2,-z'
'-x+3/4,-y+3/4,z'
'x+3/4,y+3/4,-z'
'x+1/2,-y+3/4,-z+1/4'
'-x+1/2,y+3/4,z+1/4'
'-x+3/4,y+1/2,-z+1/4'
'x+3/4,-y+1/2,z+1/4'
loop_
_atom_site_label
_atom_site_type_symbol
_atom_site_fract_x
_atom_site_fract_y
_atom_site_fract_z
Bi1 Bi 0.000 0.000 0.000
Te1 Te 0.125 0.341 0.625
Cl1 Cl 0.125 0.125 0.125

---

# PBE Bi3Te2Cl10, relaxed
# Spin magnetization, μB/f.u.: 0.0
# Calculated total energy, eV per cell: -97.2
data_Bi3Te2Cl10
_chemical_formula_sum 'Bi6 Te4 Cl20'
_symmetry_space_group_name_H-M 'P -1'
_symmetry_Int_Tables_number 2
_cell_length_a 7.314
_cell_length_b 11.012
_cell_length_c 16.102
_cell_angle_alpha 82.81
_cell_angle_beta 88.25
_cell_angle_gamma 82.23
loop_
_symmetry_equiv_pos_as_xyz
'x,y,z'
'-x,-y,-z'
loop_
_atom_site_label
_atom_site_type_symbol
_atom_site_fract_x
_atom_site_fract_y
_atom_site_fract_z
Bi1 Bi 0.110 0.303 0.010
Bi2 Bi 0.136 0.126 0.794
Bi3 Bi 0.311 0.719 0.778
Te1 Te 0.025 0.519 0.380
Te2 Te 0.031 0.670 0.501
Cl1 Cl 0.006 0.735 0.695
Cl2 Cl 0.057 0.870 0.895
Cl3 Cl 0.094 0.832 0.331
Cl4 Cl 0.106 0.719 0.129
Cl5 Cl 0.177 0.531 0.917
Cl6 Cl 0.329 0.283 0.727
Cl7 Cl 0.343 0.137 0.944
Cl8 Cl 0.352 0.328 0.122
Cl9 Cl 0.381 0.939 0.715
Cl10 Cl 0.487 0.611 0.666

---

# PBE Bi3Te2Cl10, relaxed
# Spin magnetization, μB/f.u.: 0.0
# Calculated total energy, eV per cell: -97.2
data_Bi3Te2Cl10
_chemical_formula_sum 'Bi6 Te4 Cl20'
_symmetry_space_group_name_H-M 'P -1'
_symmetry_Int_Tables_number 2
_cell_length_a 7.892
_cell_length_b 8.839
_cell_length_c 16.410
_cell_angle_alpha 86.43
_cell_angle_beta 80.35
_cell_angle_gamma 75.88
loop_
_symmetry_equiv_pos_as_xyz
'x,y,z'
'-x,-y,-z'
loop_
_atom_site_label
_atom_site_type_symbol
_atom_site_fract_x
_atom_site_fract_y
_atom_site_fract_z
Bi1 Bi 0.027 0.494 0.293
Bi2 Bi 0.066 0.953 0.133
Bi3 Bi 0.362 0.662 0.929
Te1 Te 0.322 0.192 0.495
Te2 Te 0.434 0.930 0.403
Cl1 Cl 0.071 0.220 0.362
Cl2 Cl 0.083 0.707 0.841
Cl3 Cl 0.111 0.665 0.081
Cl4 Cl 0.113 0.147 0.737
Cl5 Cl 0.155 0.589 0.404
Cl6 Cl 0.259 0.978 0.960
Cl7 Cl 0.294 0.445 0.630
Cl8 Cl 0.341 0.911 0.197
Cl9 Cl 0.397 0.351 0.967
Cl10 Cl 0.408 0.354 0.207

---

# PBE BiTeCl3, relaxed
# E above lowest polymorph, meV per atom: 717.7
# Spin magnetization, μB/f.u.: 2.3
# Calculated total energy, eV per cell: -12.1
data_BiTeCl3
_chemical_formula_sum 'Bi1 Te1 Cl3'
_symmetry_space_group_name_H-M 'P m -3 m'
_symmetry_Int_Tables_number 221
_symmetry_space_group_name_Hall '-P 4 2 3'
_cell_length_a 5.482
_cell_length_b 5.482
_cell_length_c 5.482
_cell_angle_alpha 90.00
_cell_angle_beta 90.00
_cell_angle_gamma 90.00
loop_
_atom_site_label
_atom_site_type_symbol
_atom_site_fract_x
_atom_site_fract_y
_atom_site_fract_z
Bi1 Bi 0.000 0.000 0.000
Te1 Te 0.500 0.500 0.500
Cl1 Cl 0.000 0.500 0.500